Here is crystalline Cs2Hg at its relaxed geometry from Alexandria via LeMat-Bulk. Energies are from PBE. Values from VASP.

**Formation energy from the elements**: -0.152 eV per atom
**Relative energy among the computed polymorphs**: 0.0 meV per atom
**Symmetry**: C2/m (12)
**Crystal system**: monoclinic

Quantum ESPRESSO input file:
```
&SYSTEM
  ibrav = 0, nat = 12, ntyp = 2
/
ATOMIC_SPECIES
Cs 132.91 Cs.upf
Hg 200.59 Hg.upf
CELL_PARAMETERS angstrom
18.392 0.000 0.000
0.000 5.291 0.000
-6.640 0.000 9.388
ATOMIC_POSITIONS crystal
Cs 0.026 0.000 0.314
Cs 0.205 0.500 0.170
Cs 0.295 0.000 0.830
Cs 0.474 0.500 0.686
Cs 0.526 0.500 0.314
Cs 0.705 0.000 0.170
Cs 0.795 0.500 0.830
Cs 0.974 0.000 0.686
Hg 0.216 0.500 0.527
Hg 0.284 0.000 0.473
Hg 0.716 0.000 0.527
Hg 0.784 0.500 0.473
```

Here is crystalline LaHo3Hg2 at its relaxed geometry from Alexandria via LeMat-Bulk. Energies are from PBE. Values from VASP.

**Formation energy from the elements**: -0.336 eV per atom
**Relative energy among the computed polymorphs**: 0.0 meV per atom
**Symmetry**: Pmc2_1 (26)
**Crystal system**: orthorhombic

Quantum ESPRESSO input file:
```
&SYSTEM
  ibrav = 0, nat = 12, ntyp = 3
/
ATOMIC_SPECIES
La 138.91 La.upf
Ho 164.93 Ho.upf
Hg 200.59 Hg.upf
CELL_PARAMETERS angstrom
5.118 0.000 0.000
0.000 9.381 0.000
0.000 0.000 7.201
ATOMIC_POSITIONS crystal
La 0.000 0.057 0.000
La 0.000 0.943 0.500
Ho 0.000 0.332 0.650
Ho 0.000 0.668 0.150
Ho 0.500 0.184 0.320
Ho 0.500 0.441 0.969
Ho 0.500 0.559 0.469
Ho 0.500 0.816 0.820
Hg 0.000 0.357 0.228
Hg 0.000 0.643 0.728
Hg 0.500 0.152 0.740
Hg 0.500 0.848 0.240
```

Here is crystalline Y2Ho6Er at its relaxed geometry from Alexandria via LeMat-Bulk. Energies are from PBE. Values from VASP.

**Formation energy from the elements**: 0.022 eV per atom
**Symmetry**: P-1 (2)
**Crystal system**: triclinic

Quantum ESPRESSO input file:
```
&SYSTEM
  ibrav = 0, nat = 9, ntyp = 3
/
ATOMIC_SPECIES
Y 88.91 Y.upf
Ho 164.93 Ho.upf
Er 167.26 Er.upf
CELL_PARAMETERS angstrom
3.537 0.000 0.000
-0.010 8.645 0.000
-1.756 -0.005 9.175
ATOMIC_POSITIONS crystal
Y 0.055 0.333 0.111
Y 0.945 0.667 0.889
Ho 0.167 0.000 0.333
Ho 0.278 0.667 0.554
Ho 0.387 0.331 0.776
Ho 0.613 0.669 0.224
Ho 0.722 0.333 0.446
Ho 0.833 0.000 0.667
Er 0.500 0.000 0.000
```